1:
In3ReS | Alexandria via LeMat-Bulk | PBEsol | optimized geometry; density of states at the Fermi level = 4.94 states/eV per cell; SG = Pm-3m, No. 221; crystal system = cubic
1.0
4.954 0.000 0.000
0.000 4.954 0.000
0.000 0.000 4.954
In Re S
3 1 1
direct
0.000 0.000 0.500
0.000 0.500 0.000
0.500 0.000 0.000
0.500 0.500 0.500
0.000 0.000 0.000

=====

2:
In3ReS | Alexandria via LeMat-Bulk | PBEsol | optimized geometry; density of states at the Fermi level = 6.02 states/eV per cell; SG = Pm-3m, No. 221; crystal system = cubic
1.0
5.157 0.000 0.000
0.000 5.157 0.000
0.000 0.000 5.157
In Re S
3 1 1
direct
0.000 0.000 0.500
0.000 0.500 0.000
0.500 0.000 0.000
0.000 0.000 0.000
0.500 0.500 0.500

=====

The computed energies, referenced to the most stable structure and given in meV/atom, are 1 538; 2 0.

=====

1:
InReSe | Alexandria via LeMat-Bulk | PBEsol | optimized geometry; density of states at the Fermi level = 3.40 states/eV per cell; SG = I4mm, No. 107; crystal system = tetragonal
1.0
3.020 0.000 0.000
0.000 3.020 0.000
0.000 0.000 12.598
In Re Se
2 2 2
direct
0.000 0.000 0.000
0.500 0.500 0.500
0.000 0.000 0.665
0.500 0.500 0.165
0.000 0.000 0.271
0.500 0.500 0.771

=====

2:
InReSe | Alexandria via LeMat-Bulk | PBEsol | optimized geometry; density of states at the Fermi level = 2.01 states/eV per cell; SG = P3m1, No. 156; crystal system = trigonal
1.0
3.170 0.000 0.000
-1.585 2.746 0.000
0.000 0.000 6.362
In Re Se
1 1 1
direct
0.000 0.000 0.000
0.333 0.667 0.657
0.667 0.333 0.398

=====

The computed energies, referenced to the most stable structure and given in meV/atom, are 1 21; 2 0.

=====

1:
InRe2Si | Alexandria via LeMat-Bulk | PBEsol | optimized geometry; density of states at the Fermi level = 14.03 states/eV per cell; SG = Fm-3m, No. 225; crystal system = cubic
1.0
6.200 0.000 0.000
0.000 6.200 0.000
0.000 0.000 6.200
In Re Si
4 8 4
direct
0.000 0.000 0.000
0.000 0.500 0.500
0.500 0.000 0.500
0.500 0.500 0.000
0.250 0.250 0.250
0.250 0.250 0.750
0.250 0.750 0.250
0.250 0.750 0.750
0.750 0.250 0.250
0.750 0.250 0.750
0.750 0.750 0.250
0.750 0.750 0.750
0.000 0.000 0.500
0.000 0.500 0.000
0.500 0.000 0.000
0.500 0.500 0.500

=====

2:
InRe2Si | Alexandria via LeMat-Bulk | PBEsol | optimized geometry; density of states at the Fermi level = 4.62 states/eV per cell; SG = Imm2, No. 44; crystal system = orthorhombic
1.0
3.068 0.000 0.000
0.000 4.250 0.000
0.000 0.000 9.444
In Re Si
2 4 2
direct
0.000 0.000 0.000
0.500 0.500 0.500
0.000 0.000 0.532
0.000 0.500 0.786
0.500 0.000 0.286
0.500 0.500 0.032
0.000 0.500 0.237
0.500 0.000 0.737

=====

The computed energies, referenced to the most stable structure and given in meV/atom, are 1 83; 2 0.

=====

1:
InRe2Si | Alexandria via LeMat-Bulk | PBEsol | optimized geometry; density of states at the Fermi level = 2.48 states/eV per cell; SG = P4/mmm, No. 123; crystal system = tetragonal
1.0
3.004 0.000 0.000
0.000 3.004 0.000
0.000 0.000 6.746
In Re Si
1 2 1
direct
0.000 0.000 0.000
0.500 0.500 0.302
0.500 0.500 0.698
0.000 0.000 0.500

=====

2:
InRe2Si | Alexandria via LeMat-Bulk | PBEsol | optimized geometry; density of states at the Fermi level = 3.35 states/eV per cell; SG = P2/m, No. 10; crystal system = monoclinic
1.0
2.914 0.000 0.000
0.000 3.889 0.000
-1.143 0.000 5.500
In Re Si
1 2 1
direct
0.000 0.000 0.000
0.359 0.500 0.713
0.641 0.500 0.287
0.000 0.000 0.500

=====

The computed energies, referenced to the most stable structure and given in meV/atom, are 1 0; 2 131.